Below is crystalline ZrCo3 at its relaxed geometry, with properties calculated at the PBE level.

Unit cell a=3.1441 b=3.1441 c=5.5094 alpha=90.00 beta=90.00 gamma=89.99
With the nearest neighbours (Å) after each atom.
Fractional coordinates of all 4 atoms:
Co: 0.0000 0.0000 0.9673  5 Co 2.39-2.53
Co: 0.0000 0.0000 0.5327  5 Co 2.39-2.53
Co: 0.5000 0.5000 0.7500  8 Co 2.52-2.53, 2 Zr 2.75
Zr: 0.5000 0.5000 0.2500  10 Co 2.71-2.75

Results
DOS(E_F) ... 4.325 states/eV per cell
Uncorrected energy ... -7.4744 eV/atom